LiTaBe (PBE, optimized geometry); symmetry = P4mm (99); ρ = 7.4 g/cm3; distance to the lowest polymorph of the same formula = 0 meV/atom
1.0
2.795 0.000 0.000
0.000 2.795 0.000
0.000 0.000 11.281
Ta Li Be
2 2 2
direct
0.000 0.000 0.201 Ta
0.000 0.000 0.500 Ta
0.500 0.500 0.990 Li
0.000 0.000 0.787 Li
0.500 0.500 0.649 Be
0.500 0.500 0.347 Be



Cu6PbAu6 (PBE, optimized geometry); symmetry = Immm (71); ρ = 13.8 g/cm3; energy = -3.697 eV per atom
1.0
-0.508 2.411 -4.539
-6.635 0.709 -1.819
-0.483 6.857 0.758
Cu Au Pb
6 6 1
direct
0.000 0.000 0.500 Cu
0.500 0.238 0.762 Cu
0.000 0.500 0.000 Cu
0.500 0.500 0.000 Cu
0.500 0.762 0.238 Cu
0.500 0.000 0.500 Cu
0.345 0.655 0.655 Au
0.000 0.338 0.662 Au
0.000 0.662 0.338 Au
0.311 0.189 0.189 Au
0.655 0.345 0.345 Au
0.689 0.811 0.811 Au
0.000 0.000 0.000 Pb



PmIn5Cl8 (PBE, optimized geometry); symmetry = I-4 (82); ρ = 4.0 g/cm3; energy = -3.599 eV per atom
1.0
7.707 0.394 -2.737
-3.731 6.755 -2.737
-0.219 -0.394 8.175
In Pm Cl
5 1 8
direct
0.394 0.021 0.168 In
0.979 0.147 0.372 In
0.500 0.500 0.000 In
0.774 0.606 0.628 In
0.853 0.226 0.832 In
0.250 0.750 0.500 Pm
0.552 0.820 0.387 Cl
0.180 0.568 0.733 Cl
0.096 0.952 0.714 Cl
0.618 0.904 0.856 Cl
0.432 0.165 0.613 Cl
0.048 0.762 0.144 Cl
0.238 0.382 0.286 Cl
0.835 0.448 0.267 Cl



Quick rundown of D(E_F), same order as above: 1.115, 3.609, 0.000 states/eV/f.u.